No. 1
# CePmPtPb

A relaxed CePmPtPb crystal (PBE-GGA, the Alexandria database).

```
data_CePmPtPb
_cell_length_a 7.531
_cell_length_b 7.531
_cell_length_c 7.531
_cell_angle_alpha 90.00
_cell_angle_beta 90.00
_cell_angle_gamma 90.00
_space_group_name_H-M_alt 'F -4 3 m'
_space_group_IT_number 216
_space_group_name_Hall 'F -4 2 3'
loop_
_atom_site_label
_atom_site_type_symbol
_atom_site_fract_x
_atom_site_fract_y
_atom_site_fract_z
_atom_site_occupancy
Ce1 Ce 0.000 0.000 0.000 1
Pm1 Pm 0.000 0.000 0.500 1
Pt1 Pt 0.250 0.250 0.250 1
Pb1 Pb 0.250 0.250 0.750 1
```

Computed properties:
ΔH_f (0 K): -0.598 eV/atom

=====

No. 2
# NaTl2GeBr5

A relaxed NaTl2GeBr5 crystal (PBE-GGA, the Alexandria database).

```
data_NaTl2GeBr5
_cell_length_a 4.289
_cell_length_b 18.691
_cell_length_c 15.341
_cell_angle_alpha 90.00
_cell_angle_beta 90.00
_cell_angle_gamma 90.00
_space_group_name_H-M_alt 'C m c 21'
_space_group_IT_number 36
_space_group_name_Hall 'C 2c -2'
loop_
_atom_site_label
_atom_site_type_symbol
_atom_site_fract_x
_atom_site_fract_y
_atom_site_fract_z
_atom_site_occupancy
Na1 Na 0.000 0.044 0.000 1
Tl1 Tl 0.000 0.368 0.856 1
Tl2 Tl 0.000 0.412 0.201 1
Ge1 Ge 0.000 0.278 0.585 1
Br1 Br 0.000 0.000 0.325 1
Br2 Br 0.000 0.116 0.538 1
Br3 Br 0.000 0.203 0.965 1
Br4 Br 0.000 0.235 0.214 1
Br5 Br 0.000 0.419 0.615 1
```

Computed properties:
Formation energy (no corrections): -897 meV per atom

=====

no.,density of states at the Fermi level (states/eV/f.u.),theoretical density (kg/m3)
1,8.185,10690
2,0.000,4882